Computed, not measured: CoN2F after structural relaxation at the PBE+U level of DFT.

Values from the calculation:
**Energy**: -4.10 eV per atom
**Volume**: 35.8 Å³ per cell
**Relative energy among the computed polymorphs**: 21.40 kcal/mol of atoms

Unit cell a=3.7007 b=3.7007 c=3.7007 alpha=60.00 beta=60.00 gamma=60.00
Positions (direct):
Co 0.0000 0.0000 0.0000
N 0.2500 0.2500 0.2500
N 0.7500 0.7500 0.7500
F 0.5000 0.5000 0.5000